Record 1
VASP calculation (PBE) on a relaxed Y4TeS5 crystal.

Output
Its space group is C2/m, No. 12. For the uncorrected energy, the calculation gives -68.33 eV/cell.

POSCAR file:
```
Y4TeS5
1.0
-2.4458 -1.9511 2.5620
-4.8839 -2.3509 -6.4528
7.2541 -5.1553 -0.1921
Y S Te
4 5 1
Cartesian
-1.2980 -0.7276 -1.7933
1.2224 -8.7296 -2.2896
0.4020 -3.6071 0.8282
-0.4777 -5.8501 -4.9112
-0.4580 -6.6928 -2.3428
0.3824 -2.7644 -1.7402
-3.6649 -2.1510 -1.9454
-2.3968 -4.0386 -5.3638
2.3212 -5.4186 1.2808
-1.2229 -0.9755 1.2810
```

***

Record 2
VASP calculation (PBE) on a relaxed Y2TeS crystal.

Output
Its space group is R3m, No. 160. Its energy above the most stable polymorph in this dataset is 0.00 kJ/mol of atoms. For the uncorrected energy, the calculation gives -27.00 eV/cell.

POSCAR file:
```
Y2TeS
1.0
4.0282 0.0000 0.0000
2.0141 3.4885 0.0000
2.0141 1.1628 7.1419
Y Te S
2 1 1
Cartesian
2.0141 1.1628 5.6672
2.0141 1.1628 1.4923
4.0282 2.3257 3.5934
6.0423 3.4885 7.1020
```

***

Record 3
VASP calculation (PBE) on a relaxed Y6TeS12 crystal.

Output
Its space group is R-3, No. 148. For the uncorrected energy, the calculation gives -121.19 eV/cell.

POSCAR file:
```
Y6TeS12
1.0
-6.4058 -4.4618 0.0004
5.1503 -5.4966 -2.0503
1.3594 -0.0529 7.6871
S Y Te
12 6 1
Cartesian
4.5847 -3.7699 6.0492
-2.2354 -3.6100 2.9196
0.7558 -8.2421 -1.8225
5.2737 -5.5705 0.5996
-0.4064 -4.8868 5.4578
2.3393 -6.4012 2.7176
0.5103 -5.1245 0.1794
-1.7448 -6.8321 2.0277
-0.6519 -1.7692 7.4597
-4.4808 -6.2413 -0.4120
1.8487 -3.1792 3.6095
-5.1698 -4.4408 5.0376
2.2985 -5.3567 5.2092
-2.7057 -5.8535 4.4190
-0.4998 -2.2861 4.6031
0.6038 -7.7252 1.0341
-2.1946 -4.6546 0.4280
2.8096 -4.1577 1.2182
0.0000 0.0000 0.0000
```

***

Record 4
VASP calculation (PBE) on a relaxed Y3TeS crystal.

Output
Its space group is Pm-3m, No. 221. Its energy above the most stable polymorph in this dataset is 0.00 kJ/mol of atoms. For the uncorrected energy, the calculation gives -30.86 eV/cell.

POSCAR file:
```
Y3TeS
1.0
5.1917 0.0000 0.0000
0.0000 5.1917 0.0000
0.0000 0.0000 5.1917
Te Y S
1 3 1
Cartesian
2.5958 2.5958 2.5958
0.0000 0.0000 2.5958
2.5958 0.0000 0.0000
0.0000 2.5958 0.0000
0.0000 0.0000 0.0000
```

***

Record 5
VASP calculation (PBE) on a relaxed Y2TeS crystal.

Output
Its space group is Fm-3m, No. 225. Its energy above the most stable polymorph in this dataset is 37.83 kJ/mol of atoms. For the uncorrected energy, the calculation gives -25.43 eV/cell.

POSCAR file:
```
Y2TeS
1.0
0.0000 3.6299 3.6299
3.6299 0.0000 3.6299
3.6299 3.6299 0.0000
Y Te S
2 1 1
Cartesian
1.8149 1.8149 1.8149
5.4448 5.4448 5.4448
3.6299 3.6299 3.6299
0.0000 0.0000 0.0000
```

***

Record 6
VASP calculation (PBE) on a relaxed Y3TeS3 crystal.

Output
Its space group is R-3, No. 148. For the uncorrected energy, the calculation gives -95.13 eV/cell.

POSCAR file:
```
Y3TeS3
1.0
-6.3004 -0.7773 -4.7210
-7.1560 -1.2605 3.1289
-5.5910 6.3760 -0.2170
S Y Te
6 6 2
Cartesian
-6.9031 1.4192 -2.4837
-7.1740 3.7044 0.5254
-9.8165 3.4806 -3.7537
-9.2309 0.8575 1.9446
-12.1443 2.9190 0.6746
-11.8735 0.6337 -2.3345
-11.3233 0.3602 0.2560
-7.2254 1.0049 0.1998
-9.7006 3.5074 1.5521
-9.3469 0.8308 -3.3612
-11.8220 3.3333 -2.0089
-7.7241 3.9779 -2.0651
-4.4979 -0.5998 -0.5272
-14.5495 4.9379 -1.2819
```

***

Record 7
VASP calculation (PBE) on a relaxed Y4Te5S crystal.

Output
Its space group is C2/m, No. 12. For the uncorrected energy, the calculation gives -60.02 eV/cell.

POSCAR file:
```
Y4Te5S
1.0
-4.1795 0.6166 0.4754
0.6826 -1.8194 8.3622
3.4192 8.9222 -0.5226
Y Te S
4 5 1
Cartesian
0.1709 -0.4147 2.0410
-1.5910 3.1931 0.8809
-0.2486 8.1342 6.2739
1.5133 4.5264 7.4341
-1.0818 6.1749 1.4900
0.6650 2.4217 2.7054
1.0041 1.5446 6.8249
-1.7484 -0.6014 4.4188
-0.7426 5.2978 5.6096
-2.0897 0.3083 0.2377
```

***

Record 8
VASP calculation (PBE) on a relaxed Y5Te4S crystal.

Output
Its space group is I4/mmm, No. 139. For the uncorrected energy, the calculation gives -63.39 eV/cell.

POSCAR file:
```
Y5Te4S
1.0
4.2015 0.0000 0.0000
0.0000 4.2015 0.0000
-2.1007 -2.1007 15.8462
Y Te S
5 4 1
Cartesian
0.0000 0.0000 2.6245
2.1007 2.1007 0.0000
2.1007 2.1007 13.2217
2.1007 2.1007 6.7580
0.0000 0.0000 9.0882
2.1007 2.1007 9.8690
2.1007 2.1007 3.2109
0.0000 0.0000 12.6353
0.0000 0.0000 5.9771
0.0000 0.0000 0.0000
```

***

Record 9
VASP calculation (PBE) on a relaxed Y5TeS4 crystal.

Output
Its space group is C2/m, No. 12. For the uncorrected energy, the calculation gives -70.25 eV/cell.

POSCAR file:
```
Y5TeS4
1.0
3.8847 0.0000 0.8874
1.6375 6.5528 1.7782
-0.0048 0.0012 8.9679
Y S Te
5 4 1
Cartesian
0.8164 3.2770 5.3731
2.0544 2.2583 8.9002
3.2300 0.6815 3.7533
3.4630 4.2957 2.7333
2.2874 5.8725 7.8802
4.0957 4.0597 8.9107
1.4217 2.4943 2.7228
2.6392 1.3582 6.3397
2.8782 5.1958 5.2937
0.0000 0.0000 0.0000
```

***

Record 10
VASP calculation (PBE) on a relaxed Y4Te3S crystal.

Output
Its space group is Cmmm, No. 65. For the uncorrected energy, the calculation gives -51.22 eV/cell.

POSCAR file:
```
Y4Te3S
1.0
-3.3252 0.7067 -2.4721
4.4733 0.2276 -5.9518
-2.2810 -7.0108 1.0638
Te Y S
3 4 1
Cartesian
2.2367 0.1138 -2.9759
-1.1405 -3.5054 0.5319
-0.5665 -3.0383 -3.6801
0.4653 -1.4398 -1.0375
1.7269 -5.3435 -3.8505
1.3012 -1.0368 -5.6200
-2.4341 -5.0397 -1.7402
-1.6626 0.3534 -1.2361
```

***

Record 11
VASP calculation (PBE) on a relaxed Y2TeS crystal.

Output
Its space group is Pmna, No. 53. Its energy above the most stable polymorph in this dataset is 12.82 kJ/mol of atoms. For the uncorrected energy, the calculation gives -105.86 eV/cell.

POSCAR file:
```
Y2TeS
1.0
-4.7519 3.8392 -1.5801
-3.1173 -4.5380 -1.6513
-4.2794 -0.9252 10.6222
S Y Te
4 8 4
Cartesian
-5.3996 -1.9193 5.4647
-7.2658 -1.7485 -1.4858
-4.8828 0.1244 8.8765
-6.7490 0.2952 1.9260
-7.9903 0.2622 4.3603
-8.5393 -1.7536 0.9326
-3.6093 0.1295 6.4581
-4.5024 -3.8927 -0.8099
-7.6462 2.2686 8.2006
-6.1453 -2.3508 8.0585
-4.1583 -1.8863 3.0305
-6.0033 0.7267 -0.6678
-6.1724 -3.6993 1.8113
-5.9762 2.0752 5.5794
-3.5711 -1.2049 0.0492
-8.5775 -0.4192 7.3416
```

***

Record 12
VASP calculation (PBE) on a relaxed Y4Te3S crystal.

Output
Its space group is R-3m, No. 166. For the uncorrected energy, the calculation gives -51.21 eV/cell.

POSCAR file:
```
Y4Te3S
1.0
4.2066 0.0000 0.0000
2.1033 3.6430 0.0000
2.1033 1.2143 14.2852
Y Te S
4 3 1
Cartesian
6.3098 3.6430 5.3373
2.1033 1.2143 8.9479
4.2066 2.4287 12.9292
4.2066 2.4287 1.3560
6.3098 3.6430 10.9039
2.1033 1.2143 3.3813
4.2066 2.4287 7.1426
0.0000 0.0000 0.0000
```